# YCu2Rh2

A relaxed YCu2Rh2 crystal (PBE, Alexandria).

Results
The calculation puts the energy relative to the elements at -0.20 eV per atom. Its crystal system is tetragonal.

Lattice parameters (Å, degrees): 3.943 3.943 6.067 71.04 71.04 90.00
Fractional coordinates of all 5 atoms:
Y 0.000 0.000 0.000
Rh 0.250 0.750 0.500
Cu 0.606 0.606 0.788
Rh 0.750 0.250 0.500
Cu 0.394 0.394 0.212